Entry 1:
Computed, not measured: an optimized crystal structure of BaScSi2 at the GGA-PBE level of DFT.

- Polymorph energy (0 for the lowest one): 536 meV per atom

Cell: 4.8269 4.8269 4.2175 Å, 90.00 90.00 90.00°
Space group P4/mmm (No. 123)
One atom of each set of equivalent atoms:
Ba1 0.0000 0.0000 0.0000 (multiplicity 1)
Sc1 0.5000 0.5000 0.0000 (multiplicity 1)
Si1 0.0000 0.5000 0.5000 (multiplicity 2)


Entry 2:
Computed, not measured: an optimized crystal structure of Pr2SmTm at the GGA-PBE level of DFT.

- Polymorph energy (0 for the lowest one): 8 meV per atom
- Energy of formation: 0.02 eV per atom

Cell: 3.6495 3.6495 35.4289 Å, 90.00 90.00 120.00°
Space group R3m (No. 160, hexagonal axes)
One atom of each set of equivalent atoms:
Pr1 0.0000 0.0000 0.0000 (multiplicity 3)
Pr2 0.0000 0.0000 0.1693 (multiplicity 3)
Sm1 0.0000 0.0000 0.4175 (multiplicity 3)
Tm1 0.0000 0.0000 0.5851 (multiplicity 3)


Entry 3:
Computed, not measured: an optimized crystal structure of Rb8Au3SI4 at the GGA-PBE level of DFT.

Cell: 10.3761 10.3761 24.8042 Å, 90.00 90.00 120.00°
Space group R-3m (No. 166, hexagonal axes)
One atom of each set of equivalent atoms:
Rb1 0.0000 0.0000 0.2462 (multiplicity 6)
Rb2 0.0007 0.5003 0.2444 (multiplicity 18)
Au1 0.0000 0.5000 0.5000 (multiplicity 9)
S1 0.0000 0.0000 0.5000 (multiplicity 3)
I1 0.0000 0.0000 0.0000 (multiplicity 3)
I2 0.0000 0.5000 0.0000 (multiplicity 9)


Entry 4:
Computed, not measured: an optimized crystal structure of Gd2TmBr at the GGA-PBE level of DFT.

- Polymorph energy (0 for the lowest one): 73 meV per atom

Cell: 3.5371 3.5371 9.4820 Å, 90.00 90.00 90.00°
Space group P4/mmm (No. 123)
One atom of each set of equivalent atoms:
Gd1 0.0000 0.0000 0.2387 (multiplicity 2)
Tm1 0.5000 0.5000 0.5000 (multiplicity 1)
Br1 0.5000 0.5000 0.0000 (multiplicity 1)


Entry 5:
Computed, not measured: an optimized crystal structure of Sm2Si4Pd3Au at the GGA-PBE level of DFT.

Cell: 4.2457 4.2457 10.0168 Å, 90.00 90.00 90.00°
Space group P-4m2 (No. 115)
One atom of each set of equivalent atoms:
Sm1 0.0000 0.5000 0.2445 (multiplicity 2)
Si1 0.0000 0.0000 0.0000 (multiplicity 1)
Si2 0.0000 0.5000 0.6396 (multiplicity 2)
Si3 0.5000 0.5000 0.0000 (multiplicity 1)
Pd1 0.0000 0.5000 0.8804 (multiplicity 2)
Pd2 0.5000 0.5000 0.5000 (multiplicity 1)
Au1 0.0000 0.0000 0.5000 (multiplicity 1)


Entry 6:
Computed, not measured: an optimized crystal structure of AlCoH at the GGA-PBE level of DFT.

- Polymorph energy (0 for the lowest one): 0 meV per atom

Cell: 4.7019 4.5038 5.5335 Å, 90.00 108.82 90.00°
Space group P2_1/c (No. 14)
One atom of each set of equivalent atoms:
Al1 0.1878 0.1252 0.3756 (multiplicity 4)
Co1 0.3678 0.6309 0.2915 (multiplicity 4)
H1 0.3026 0.5912 0.5775 (multiplicity 4)


Entry 7:
Computed, not measured: an optimized crystal structure of Sc3NbGe at the GGA-PBE level of DFT.

- Polymorph energy (0 for the lowest one): 230 meV per atom
- Energy of formation: 0.66 eV per atom

Cell: 5.0327 5.0327 5.0327 Å, 90.00 90.00 90.00°
Space group Pm-3m (No. 221)
One atom of each set of equivalent atoms:
Sc1 0.0000 0.0000 0.5000 (multiplicity 3)
Nb1 0.0000 0.0000 0.0000 (multiplicity 1)
Ge1 0.5000 0.5000 0.5000 (multiplicity 1)


Entry 8:
Computed, not measured: an optimized crystal structure of TaAg2SnH at the GGA-PBE level of DFT.

Cell: 5.1140 5.1140 5.3111 Å, 90.00 90.00 90.00°
Space group P4/mmm (No. 123)
One atom of each set of equivalent atoms:
Ta1 0.0000 0.0000 0.0000 (multiplicity 1)
Ag1 0.0000 0.5000 0.5000 (multiplicity 2)
Sn1 0.0000 0.0000 0.5000 (multiplicity 1)
H1 0.5000 0.5000 0.0000 (multiplicity 1)


Entry 9:
Computed, not measured: an optimized crystal structure of NpPa2Zn at the GGA-PBE level of DFT.

- Polymorph energy (0 for the lowest one): 0 meV per atom
- Energy of formation: 0.04 eV per atom

Cell: 5.2169 5.2169 3.1581 Å, 90.00 90.00 90.00°
Space group P4/mmm (No. 123)
One atom of each set of equivalent atoms:
Np1 0.0000 0.0000 0.0000 (multiplicity 1)
Pa1 0.0000 0.5000 0.5000 (multiplicity 2)
Zn1 0.5000 0.5000 0.0000 (multiplicity 1)


Entry 10:
Computed, not measured: an optimized crystal structure of Dy2SeO at the GGA-PBE level of DFT.

- Polymorph energy (0 for the lowest one): 33 meV per atom

Cell: 3.9012 9.6394 4.6634 Å, 90.00 90.00 90.00°
Space group Pmn2_1 (No. 31)
One atom of each set of equivalent atoms:
Dy1 0.0000 0.0827 0.0000 (multiplicity 2)
Dy2 0.0000 0.6855 0.9734 (multiplicity 2)
Se1 0.0000 0.3790 0.9952 (multiplicity 2)
O1 0.0000 0.8919 0.7361 (multiplicity 2)


Entry 11:
Computed, not measured: an optimized crystal structure of AcErCdPd at the GGA-PBE level of DFT.

- Energy of formation: -0.44 eV per atom

Cell: 7.5666 7.5666 7.5666 Å, 90.00 90.00 90.00°
Space group F-43m (No. 216)
One atom of each set of equivalent atoms:
Ac1 0.0000 0.0000 0.0000 (multiplicity 4)
Er1 0.0000 0.0000 0.5000 (multiplicity 4)
Cd1 0.2500 0.2500 0.7500 (multiplicity 4)
Pd1 0.2500 0.2500 0.2500 (multiplicity 4)


Entry 12:
Computed, not measured: an optimized crystal structure of Er8Tl2Ag at the GGA-PBE level of DFT.

- Energy of formation: -0.13 eV per atom

Cell: 18.4202 5.1241 6.7527 Å, 90.00 100.39 90.00°
Space group C2/m (No. 12)
One atom of each set of equivalent atoms:
Er1 0.0167 0.0000 0.2625 (multiplicity 4)
Er2 0.0910 0.5000 0.9653 (multiplicity 4)
Er3 0.1537 0.5000 0.4796 (multiplicity 4)
Er4 0.2025 0.0000 0.8083 (multiplicity 4)
Tl1 0.1890 0.0000 0.2538 (multiplicity 4)
Ag1 0.0000 0.5000 0.5000 (multiplicity 2)


Entry 13:
Computed, not measured: an optimized crystal structure of K2Zn4Pd at the GGA-PBE level of DFT.

- Energy of formation: -0.02 eV per atom

Cell: 4.9746 4.9746 17.1820 Å, 90.00 90.00 90.00°
Space group I4/mmm (No. 139)
One atom of each set of equivalent atoms:
K1 0.0000 0.0000 0.1506 (multiplicity 4)
Zn1 0.0000 0.0000 0.3566 (multiplicity 4)
Zn2 0.0000 0.5000 0.0000 (multiplicity 4)
Pd1 0.0000 0.0000 0.5000 (multiplicity 2)


Entry 14:
Computed, not measured: an optimized crystal structure of PHPbO2 at the GGA-PBE level of DFT.

- Polymorph energy (0 for the lowest one): 0 meV per atom

Cell: 4.3944 4.3944 3.1241 Å, 90.00 90.00 90.00°
Space group P4/mmm (No. 123)
One atom of each set of equivalent atoms:
P1 0.0000 0.0000 0.0000 (multiplicity 1)
H1 0.0000 0.0000 0.5000 (multiplicity 1)
Pb1 0.5000 0.5000 0.0000 (multiplicity 1)
O1 0.0000 0.5000 0.5000 (multiplicity 2)


Entry 15:
Computed, not measured: an optimized crystal structure of DyEr8Bi6 at the GGA-PBE level of DFT.

- Energy of formation: -0.48 eV per atom

Cell: 7.5755 7.5755 29.4017 Å, 90.00 90.00 120.00°
Space group R-3 (No. 148, hexagonal axes)
One atom of each set of equivalent atoms:
Dy1 0.0000 0.0000 0.0000 (multiplicity 3)
Er1 0.0000 0.0000 0.3334 (multiplicity 6)
Er2 0.0008 0.6689 0.1219 (multiplicity 18)
Bi1 0.9996 0.3349 0.0624 (multiplicity 18)


Entry 16:
Computed, not measured: an optimized crystal structure of Gd2BeGa at the GGA-PBE level of DFT.

- Polymorph energy (0 for the lowest one): 737 meV per atom
- Energy of formation: 0.50 eV per atom

Cell: 3.4117 3.4117 31.1749 Å, 90.00 90.00 120.00°
Space group R-3m (No. 166, hexagonal axes)
One atom of each set of equivalent atoms:
Gd1 0.0000 0.0000 0.0940 (multiplicity 6)
Be1 0.0000 0.0000 0.0000 (multiplicity 3)
Ga1 0.0000 0.0000 0.5000 (multiplicity 3)


Entry 17:
Computed, not measured: an optimized crystal structure of Fe2SnPd at the GGA-PBE level of DFT.

- Energy of formation: -0.04 eV per atom

Cell: 4.0011 4.0011 7.4655 Å, 90.00 90.00 90.00°
Space group I-4m2 (No. 119)
One atom of each set of equivalent atoms:
Fe1 0.0000 0.0000 0.0000 (multiplicity 2)
Fe2 0.0000 0.5000 0.2500 (multiplicity 2)
Sn1 0.0000 0.5000 0.7500 (multiplicity 2)
Pd1 0.0000 0.0000 0.5000 (multiplicity 2)


Entry 18:
Computed, not measured: an optimized crystal structure of PrIn3Pd2 at the GGA-PBE level of DFT.

- Energy of formation: -0.56 eV per atom

Cell: 18.0332 4.4659 10.8351 Å, 90.00 109.07 90.00°
Space group C2/m (No. 12)
One atom of each set of equivalent atoms:
Pr1 0.0000 0.0000 0.0000 (multiplicity 2)
Pr2 0.1581 0.0000 0.7017 (multiplicity 4)
In1 0.0000 0.5000 0.5000 (multiplicity 2)
In2 0.0406 0.0000 0.3464 (multiplicity 4)
In3 0.1257 0.5000 0.1922 (multiplicity 4)
In4 0.1724 0.5000 0.9551 (multiplicity 4)
In5 0.2163 0.0000 0.3870 (multiplicity 4)
Pd1 0.0242 0.5000 0.7862 (multiplicity 4)
Pd2 0.1369 0.5000 0.4516 (multiplicity 4)
Pd3 0.1997 0.0000 0.1249 (multiplicity 4)


Entry 19:
Computed, not measured: an optimized crystal structure of Sn3IO at the GGA-PBE level of DFT.

- Polymorph energy (0 for the lowest one): 0 meV per atom

Cell: 5.0603 5.0603 5.0603 Å, 90.00 90.00 90.00°
Space group Pm-3m (No. 221)
One atom of each set of equivalent atoms:
Sn1 0.0000 0.0000 0.5000 (multiplicity 3)
I1 0.5000 0.5000 0.5000 (multiplicity 1)
O1 0.0000 0.0000 0.0000 (multiplicity 1)


Entry 20:
Computed, not measured: an optimized crystal structure of SrLi2Sb at the GGA-PBE level of DFT.

Cell: 4.7035 4.7035 4.8948 Å, 90.00 90.00 90.00°
Space group P4/mmm (No. 123)
One atom of each set of equivalent atoms:
Sr1 0.0000 0.0000 0.0000 (multiplicity 1)
Li1 0.0000 0.5000 0.5000 (multiplicity 2)
Sb1 0.5000 0.5000 0.0000 (multiplicity 1)


Number 1: DFT total energy -4.677 eV per atom. Number 2: DFT total energy -4.664 eV per atom. Number 3: DFT total energy -2.625 eV per atom. Number 4: DFT total energy -9.039 eV per atom. Number 5: DFT total energy -5.833 eV per atom. Number 6: DFT total energy -4.978 eV per atom. Number 7: DFT total energy -6.076 eV per atom. Number 8: DFT total energy -3.306 eV per atom. Number 9: DFT total energy -8.258 eV per atom. Number 10: DFT total energy -6.567 eV per atom. Number 11: DFT total energy -4.136 eV per atom. Number 12: DFT total energy -4.139 eV per atom. Number 13: DFT total energy -1.802 eV per atom. Number 14: DFT total energy -4.227 eV per atom. Number 15: DFT total energy -4.768 eV per atom. Number 16: DFT total energy -8.230 eV per atom. Number 17: DFT total energy -6.573 eV per atom. Number 18: DFT total energy -4.453 eV per atom. Number 19: DFT total energy -3.751 eV per atom. Number 20: DFT total energy -2.864 eV per atom.